No. 1
Below is crystalline Ta3W13 at its relaxed geometry, with properties calculated at the PBE level.

## Properties
Its formation energy from the elements is -72 meV per atom.

Cell and atoms, written as POSCAR:
```
Ta3W13
1.0
6.4126 0.0000 0.0000
0.0000 4.5328 4.5357
0.0000 -4.5328 4.5357
Ta W
3 13
Cartesian
0.0000 0.0000 0.0000 Ta
1.6119 0.0000 6.7665 Ta
4.8006 0.0000 6.7665 Ta
0.0000 0.0000 4.4880 W
0.0000 -2.2860 6.7772 W
0.0000 2.2860 6.7772 W
1.6104 -2.2572 4.5114 W
1.6107 0.0000 2.2548 W
1.6104 2.2572 4.5114 W
3.2063 0.0000 4.4866 W
3.2063 -2.2871 6.7766 W
3.2063 2.2871 6.7766 W
3.2063 0.0000 9.0651 W
4.8022 -2.2572 4.5114 W
4.8019 0.0000 2.2548 W
4.8022 2.2572 4.5114 W
```

No. 2
Below is crystalline YTa2W at its relaxed geometry, with properties calculated at the PBE level.

## Properties
The polymorph energy (0 for the lowest one) is 266 meV per atom. Its formation energy from the elements is 515 meV per atom.

Cell and atoms, written as POSCAR:
```
YTa2W
1.0
4.8569 -1.4120 0.0000
4.8569 1.4120 0.0000
-0.1349 0.0000 5.8121
Y Ta W
1 2 1
Cartesian
0.0000 0.0000 0.0000 Y
2.3176 0.0000 4.2127 Ta
4.8382 0.0000 2.8748 Ta
7.2683 0.0000 1.5857 W
```

Q: Look up the formation energy from the elements of the first one.
A: -72 meV per atom

Q: What is the formula in the second record?
A: YTa2W

Q: What is the formula in the second record?
A: YTa2W